[1]
## Ba3LuRu2O9 (meta-GGA SCAN)

Data for a PBEsol-optimized structure of Ba3LuRu2O9.

The structure in CIF format:
```
data_Ba3LuRu2O9
_cell_length_a 5.8194
_cell_length_b 5.8194
_cell_length_c 14.2284
_cell_angle_alpha 90.00
_cell_angle_beta 90.00
_cell_angle_gamma 120.00
_space_group_name_H-M_alt 'P 63/m m c'
_space_group_IT_number 194
_space_group_name_Hall '-P 6c 2c'
loop_
_atom_site_label
_atom_site_fract_x
_atom_site_fract_y
_atom_site_fract_z
_atom_site_occupancy
Ba1 0.0000 0.0000 0.2500 1
Ba2 0.3333 0.6667 0.0923 1
Lu1 0.0000 0.0000 0.0000 1
Ru1 0.3333 0.6667 0.6635 1
O1 0.0184 0.5092 0.7500 1
O2 0.1747 0.3495 0.5864 1
```

Results
Total moment = 0.335 μB/atom
Total DFT energy (no corrections) = -22.5362 eV per atom
E_form (uncorrected) = -2.554 eV per atom
D(E_F) = 0.089 states/eV per atom
Volume = 417.29 Å³ per cell



[2]
## Ba2LuTaO6 (meta-GGA SCAN)

Data for a PBEsol-optimized structure of Ba2LuTaO6.

The structure in CIF format:
```
data_Ba2LuTaO6
_cell_length_a 8.339
_cell_length_b 8.339
_cell_length_c 8.339
_cell_angle_alpha 90.00
_cell_angle_beta 90.00
_cell_angle_gamma 90.00
_space_group_name_H-M_alt 'F m -3 m'
_space_group_IT_number 225
_space_group_name_Hall '-F 4 2 3'
loop_
_atom_site_label
_atom_site_fract_x
_atom_site_fract_y
_atom_site_fract_z
_atom_site_occupancy
Ba1 0.250 0.250 0.250 1
Lu1 0.000 0.000 0.000 1
Ta1 0.000 0.000 0.500 1
O1 0.000 0.000 0.261 1
```

Results
Total moment = 0.000 μB/atom
Total DFT energy (no corrections) = -27.3613 eV per atom
E_form (uncorrected) = -3.520 eV per atom
D(E_F) = 0.000 states/eV per atom
Volume = 579.86 Å³ per cell



[3]
## Ba6Lu2W3O18 (meta-GGA SCAN)

Data for a PBEsol-optimized structure of Ba6Lu2W3O18.

The structure in CIF format:
```
data_Ba6Lu2W3O18
_cell_length_a 5.8283
_cell_length_b 5.8283
_cell_length_c 42.4610
_cell_angle_alpha 90.00
_cell_angle_beta 90.00
_cell_angle_gamma 120.00
_space_group_name_H-M_alt 'R -3 m'
_space_group_IT_number 166
_space_group_name_Hall '-R 3 2"'
loop_
_atom_site_label
_atom_site_fract_x
_atom_site_fract_y
_atom_site_fract_z
_atom_site_occupancy
Ba1 0.0000 0.0000 0.0876 1
Ba2 0.0000 0.0000 0.1876 1
Ba3 0.0000 0.0000 0.3635 1
Lu1 0.0000 0.0000 0.2754 1
W1 0.0000 0.0000 0.0000 1
W2 0.0000 0.0000 0.4485 1
O1 0.0141 0.5070 0.1969 1
O2 0.0191 0.5095 0.6406 1
O3 0.0216 0.5108 0.0845 1
```

Results
Total moment = 0.000 μB/atom
Total DFT energy (no corrections) = -26.2136 eV per atom
E_form (uncorrected) = -3.137 eV per atom
D(E_F) = 0.000 states/eV per atom
Volume = 1249.12 Å³ per cell



[4]
## BaLu2S4 (meta-GGA SCAN)

Data for a PBEsol-optimized structure of BaLu2S4.

The structure in CIF format:
```
data_BaLu2S4
_cell_length_a 12.005
_cell_length_b 3.921
_cell_length_c 14.143
_cell_angle_alpha 90.00
_cell_angle_beta 90.00
_cell_angle_gamma 90.00
_space_group_name_H-M_alt 'P n m a'
_space_group_IT_number 62
_space_group_name_Hall '-P 2ac 2n'
loop_
_atom_site_label
_atom_site_fract_x
_atom_site_fract_y
_atom_site_fract_z
_atom_site_occupancy
Ba1 0.242 0.250 0.163 1
Lu1 0.066 0.250 0.392 1
Lu2 0.078 0.250 0.899 1
S1 0.023 0.750 0.783 1
S2 0.081 0.250 0.577 1
S3 0.123 0.750 0.023 1
S4 0.207 0.750 0.342 1
```

Results
Total moment = 0.000 μB/atom
Total DFT energy (no corrections) = -29.3881 eV per atom
E_form (uncorrected) = -2.424 eV per atom
D(E_F) = 0.000 states/eV per atom
Volume = 665.77 Å³ per cell



[5]
## BaLu2Se4 (meta-GGA SCAN)

Data for a PBEsol-optimized structure of BaLu2Se4.

The structure in CIF format:
```
data_BaLu2Se4
_cell_length_a 12.518
_cell_length_b 4.076
_cell_length_c 14.764
_cell_angle_alpha 90.00
_cell_angle_beta 90.00
_cell_angle_gamma 90.00
_space_group_name_H-M_alt 'P n m a'
_space_group_IT_number 62
_space_group_name_Hall '-P 2ac 2n'
loop_
_atom_site_label
_atom_site_fract_x
_atom_site_fract_y
_atom_site_fract_z
_atom_site_occupancy
Ba1 0.240 0.250 0.166 1
Lu1 0.063 0.250 0.392 1
Lu2 0.079 0.250 0.901 1
Se1 0.025 0.750 0.783 1
Se2 0.085 0.250 0.577 1
Se3 0.125 0.750 0.025 1
Se4 0.206 0.750 0.343 1
```

Results
Total moment = 0.000 μB/atom
Total DFT energy (no corrections) = -35.1341 eV per atom
E_form (uncorrected) = -2.198 eV per atom
D(E_F) = 0.000 states/eV per atom
Volume = 753.39 Å³ per cell



[6]
## BaMg2 (meta-GGA SCAN)

Data for a PBEsol-optimized structure of BaMg2.

The structure in CIF format:
```
data_BaMg2
_cell_length_a 6.5584
_cell_length_b 6.5584
_cell_length_c 10.4760
_cell_angle_alpha 90.00
_cell_angle_beta 90.00
_cell_angle_gamma 120.00
_space_group_name_H-M_alt 'P 63/m m c'
_space_group_IT_number 194
_space_group_name_Hall '-P 6c 2c'
loop_
_atom_site_label
_atom_site_fract_x
_atom_site_fract_y
_atom_site_fract_z
_atom_site_occupancy
Ba1 0.3333 0.6667 0.0568 1
Mg1 0.0000 0.0000 0.0000 1
Mg2 0.1621 0.3243 0.7500 1
```

Results
Total moment = 0.000 μB/atom
Total DFT energy (no corrections) = -16.5851 eV per atom
D(E_F) = 0.819 states/eV per atom
ΔE_f = -8.29 kJ/mol of atoms
Volume = 390.23 Å³ per cell



[7]
## BaMg4 (meta-GGA SCAN)

Data for a PBEsol-optimized structure of BaMg4.

The structure in CIF format:
```
data_BaMg4
_cell_length_a 10.661
_cell_length_b 10.661
_cell_length_c 10.661
_cell_angle_alpha 90.00
_cell_angle_beta 90.00
_cell_angle_gamma 90.00
_space_group_name_H-M_alt 'I -4 3 m'
_space_group_IT_number 217
_space_group_name_Hall 'I -4 2 3'
loop_
_atom_site_label
_atom_site_fract_x
_atom_site_fract_y
_atom_site_fract_z
_atom_site_occupancy
Ba1 0.214 0.214 0.214 1
Mg1 0.000 0.000 0.356 1
Mg2 0.000 0.250 0.500 1
Mg3 0.103 0.103 0.897 1
```

Results
Total moment = 0.000 μB/atom
Energy relative to the lowest polymorph listed for this composition = 0.0337 eV per atom
Total DFT energy (no corrections) = -11.8544 eV per atom
D(E_F) = 0.676 states/eV per atom
ΔE_f = 3.34 kJ/mol of atoms
Volume = 1211.57 Å³ per cell



[8]
## BaMg4 (meta-GGA SCAN)

Data for a PBEsol-optimized structure of BaMg4.

The structure in CIF format:
```
data_BaMg4
_cell_length_a 4.789
_cell_length_b 4.789
_cell_length_c 13.542
_cell_angle_alpha 90.00
_cell_angle_beta 90.00
_cell_angle_gamma 90.00
_space_group_name_H-M_alt 'I 4/m m m'
_space_group_IT_number 139
_space_group_name_Hall '-I 4 2'
loop_
_atom_site_label
_atom_site_fract_x
_atom_site_fract_y
_atom_site_fract_z
_atom_site_occupancy
Ba1 0.000 0.000 0.000 1
Mg1 0.000 0.000 0.389 1
Mg2 0.000 0.500 0.250 1
```

Results
Total moment = 0.046 μB/atom
Energy relative to the lowest polymorph listed for this composition = 0.0208 eV per atom
Total DFT energy (no corrections) = -11.8673 eV per atom
D(E_F) = 0.802 states/eV per atom
ΔE_f = 2.10 kJ/mol of atoms
Volume = 310.59 Å³ per cell



- Number 3 is which compound?
  Ba6Lu2W3O18